No. 1
The following is a PBE calculation of crystalline TcIr8Ru6 at its relaxed geometry, from Alexandria via LeMat-Bulk.

The structure in POSCAR format:
```
TcIr8Ru6
1.0
-1.864 -6.875 -0.829
2.291 -4.926 4.682
-4.095 -3.136 4.197
Ru Ir Tc
6 8 1
direct
0.892 0.361 0.086
0.108 0.639 0.914
0.661 0.892 0.086
0.639 0.339 0.914
0.361 0.661 0.086
0.339 0.108 0.914
0.571 0.175 0.407
0.846 0.571 0.407
0.758 0.758 0.727
0.175 0.846 0.407
0.154 0.429 0.593
0.429 0.825 0.593
0.242 0.242 0.273
0.825 0.154 0.593
0.000 0.000 0.000
```

Output
formation enthalpy at 0 K = 0.335 eV per atom
SG = R-3 (148)
total moment = 0.000 μB per atom
calculated volume = 15.45 Å³ per atom

No. 2
The following is a PBE calculation of crystalline BePPt2 at its relaxed geometry, from Alexandria via LeMat-Bulk.

The structure in POSCAR format:
```
BePPt2
1.0
-4.527 1.555 0.824
-0.047 -2.380 4.234
-0.178 4.309 5.206
Pt Be P
4 2 2
direct
0.608 0.125 0.250
0.375 0.392 0.750
0.875 0.858 0.750
0.142 0.625 0.250
0.500 0.500 0.000
0.250 0.750 0.500
0.000 0.000 0.000
0.750 0.250 0.500
```

Output
formation enthalpy at 0 K = -0.229 eV per atom
SG = I-42d (122)
total moment = 0.000 μB per atom
calculated volume = 17.17 Å³ per atom

No. 3
The following is a PBE calculation of crystalline Cs5Rb2Tl2 at its relaxed geometry, from Alexandria via LeMat-Bulk.

The structure in POSCAR format:
```
Cs5Rb2Tl2
1.0
-2.154 -2.762 -7.060
6.941 -3.682 0.622
-5.170 -8.890 5.056
Cs Rb Tl
5 2 2
direct
0.500 0.074 0.218
0.074 0.500 0.782
0.500 0.074 0.782
0.560 0.560 0.500
0.074 0.500 0.218
0.014 0.014 0.500
0.940 0.940 0.000
0.587 0.587 0.870
0.587 0.587 0.130
```

Output
formation enthalpy at 0 K = -0.001 eV per atom
SG = Amm2 (38)
total moment = 0.000 μB per atom
calculated volume = 78.23 Å³ per atom

No. 4
The following is a PBE calculation of crystalline PaSi3Ni3 at its relaxed geometry, from Alexandria via LeMat-Bulk.

The structure in POSCAR format:
```
PaSi3Ni3
1.0
6.222 0.000 0.000
3.111 5.388 0.000
3.111 1.796 6.186
Ni Pa Si
6 2 6
direct
0.706 0.879 0.244
0.879 0.171 0.244
0.121 0.829 0.756
0.829 0.294 0.756
0.294 0.121 0.756
0.171 0.706 0.244
0.660 0.660 0.021
0.340 0.340 0.979
0.268 0.929 0.376
0.572 0.732 0.624
0.071 0.572 0.624
0.428 0.268 0.376
0.732 0.071 0.624
0.929 0.428 0.376
```

Output
SG = R-3 (148)
uncorrected formation energy = -1.90 eV per formula unit
total moment = 0.000 μB per atom
calculated volume = 14.81 Å³ per atom

No. 5
The following is a PBE calculation of crystalline NbCd2B at its relaxed geometry, from Alexandria via LeMat-Bulk.

The structure in POSCAR format:
```
NbCd2B
1.0
7.537 0.000 0.000
0.000 7.537 0.000
3.769 3.769 2.449
Nb Cd B
2 4 2
direct
0.750 0.250 0.500
0.000 0.000 0.000
0.202 0.625 0.250
0.875 0.798 0.750
0.548 0.125 0.250
0.375 0.452 0.750
0.500 0.500 0.000
0.250 0.750 0.500
```

Output
formation enthalpy at 0 K = 0.667 eV per atom
SG = I-42d (122)
total moment = 0.000 μB per atom
calculated volume = 17.39 Å³ per atom

No. 6
The following is a PBE calculation of crystalline CrHgBSe2 at its relaxed geometry, from Alexandria via LeMat-Bulk.

The structure in POSCAR format:
```
CrHgBSe2
1.0
4.654 0.000 0.000
0.000 4.082 0.000
0.000 0.000 4.654
Se B Hg Cr
2 1 1 1
direct
0.500 0.000 0.000
0.000 0.000 0.500
0.000 0.000 0.000
0.500 0.500 0.500
0.000 0.500 0.000
```

Output
SG = P4/mmm (123)
uncorrected formation energy = 4.46 eV per formula unit
total moment = 0.023 μB per atom
calculated volume = 17.69 Å³ per atom

No. 7
The following is a PBE calculation of crystalline Tm7Cd2Pd2 at its relaxed geometry, from Alexandria via LeMat-Bulk.

The structure in POSCAR format:
```
Tm7Cd2Pd2
1.0
-1.173 -3.820 -5.425
-3.493 -4.653 4.033
-5.124 4.338 0.568
Tm Pd Cd
7 2 2
direct
0.000 0.743 0.500
0.000 0.000 0.000
0.500 0.743 0.000
0.500 0.250 0.500
0.000 0.257 0.500
0.500 0.750 0.500
0.500 0.257 0.000
0.710 0.000 0.290
0.290 0.000 0.710
0.824 0.500 0.824
0.176 0.500 0.176
```

Output
formation enthalpy at 0 K = -0.289 eV per atom
SG = Cmmm (65)
total moment = 0.000 μB per atom
calculated volume = 27.86 Å³ per atom

No. 8
The following is a PBE calculation of crystalline La2ZnCl at its relaxed geometry, from Alexandria via LeMat-Bulk.

The structure in POSCAR format:
```
La2ZnCl
1.0
3.930 -0.247 3.553
-1.090 0.275 5.183
0.546 -4.300 3.056
La Zn Cl
2 1 1
direct
0.250 0.250 0.250
0.750 0.750 0.750
0.500 0.500 0.500
0.000 0.000 0.000
```

Output
SG = Fm-3m (225)
uncorrected formation energy = -2.66 eV per formula unit
total moment = 0.000 μB per atom
calculated volume = 26.38 Å³ per atom

No. 9
The following is a PBE calculation of crystalline BaPtBr2 at its relaxed geometry, from Alexandria via LeMat-Bulk.

The structure in POSCAR format:
```
BaPtBr2
1.0
5.771 -0.009 0.004
-1.372 5.605 0.004
2.173 2.765 4.014
Ba Pt Br
1 1 2
direct
0.000 0.500 0.500
0.500 0.000 0.500
0.500 0.500 0.000
0.000 0.000 0.000
```

Output
SG = C2/m (12)
uncorrected formation energy = -2.93 eV per formula unit
total moment = 0.000 μB per atom
calculated volume = 32.41 Å³ per atom

No. 10
The following is a PBE calculation of crystalline PaTcP2 at its relaxed geometry, from Alexandria via LeMat-Bulk.

The structure in POSCAR format:
```
PaTcP2
1.0
-1.643 -2.397 -3.000
0.057 -4.158 0.385
-6.974 -1.964 2.481
Tc P Pa
1 2 1
direct
0.000 0.000 0.000
0.107 0.107 0.678
0.893 0.893 0.322
0.500 0.500 0.500
```

Output
formation enthalpy at 0 K = 0.269 eV per atom
SG = R-3m (166)
total moment = 1.000 μB per atom
calculated volume = 27.45 Å³ per atom

No. 11
The following is a PBE calculation of crystalline BaBe4Pd3O12 at its relaxed geometry, from Alexandria via LeMat-Bulk.

The structure in POSCAR format:
```
BaBe4Pd3O12
1.0
-1.228 -4.614 4.288
6.170 -0.761 -1.592
-0.235 5.496 3.306
Be O Pd Ba
4 12 3 1
direct
0.500 0.928 0.072
0.072 0.500 0.928
0.928 0.072 0.500
0.500 0.500 0.500
0.040 0.628 0.760
0.655 0.500 0.345
0.372 0.960 0.240
0.628 0.760 0.040
0.240 0.372 0.960
0.916 0.500 0.084
0.960 0.240 0.372
0.084 0.916 0.500
0.500 0.084 0.916
0.760 0.040 0.628
0.345 0.655 0.500
0.500 0.345 0.655
0.434 0.000 0.566
0.000 0.566 0.434
0.566 0.434 0.000
0.000 0.000 0.000
```

Output
SG = R32 (155)
uncorrected formation energy = -26.05 eV per formula unit
total moment = 0.106 μB per atom
calculated volume = 11.47 Å³ per atom

No. 12
The following is a PBE calculation of crystalline SrTc2IrO8 at its relaxed geometry, from Alexandria via LeMat-Bulk.

The structure in POSCAR format:
```
SrTc2IrO8
1.0
-2.813 -2.921 -2.703
3.036 0.215 -3.805
3.095 -5.007 2.181
O Sr Tc Ir
8 1 2 1
direct
0.223 0.777 0.208
0.777 0.223 0.208
0.777 0.223 0.792
0.707 0.707 0.000
0.339 0.338 0.500
0.293 0.293 0.000
0.223 0.777 0.792
0.661 0.662 0.500
0.000 0.000 0.500
0.500 0.500 0.763
0.500 0.500 0.237
0.000 0.000 0.000
```

Output
SG = Cmmm (65)
uncorrected formation energy = -17.24 eV per formula unit
total moment = 0.000 μB per atom
calculated volume = 12.41 Å³ per atom

Which of these has the highest total moment? PaTcP2